[1]
{
  "formula": "TbPm2Gd",
  "functional": "GGA-PBE",
  "state": "optimized geometry",
  "cell": [[0.000, 4.065, 4.065], [4.065, 0.000, 4.065], [4.065, 4.065, 0.000]],
  "species": ["Tb", "Pm", "Pm", "Gd"],
  "frac_coords": [[0.000, 0.000, 0.000], [0.250, 0.250, 0.250], [0.750, 0.750, 0.750], [0.500, 0.500, 0.500]],
  "final_energy_ev_per_fu": -27.741,
  "n_ef_per_ev_atom": 2.040,
  "e_above_lowest_polymorph_mev_per_atom": 105,
  "ef_ev_per_atom": 0.118
}

***

[2]
{
  "formula": "TlH2Cl",
  "functional": "GGA-PBE",
  "state": "optimized geometry",
  "cell": [[-2.203, 2.203, 6.452], [2.203, -2.203, 6.452], [2.203, 2.203, -6.452]],
  "species": ["Tl", "Tl", "H", "H", "H", "H", "Cl", "Cl"],
  "frac_coords": [[0.000, 0.000, 0.000], [0.750, 0.250, 0.500], [0.375, 0.122, 0.247], [0.872, 0.625, 0.747], [0.875, 0.128, 0.753], [0.878, 0.125, 0.253], [0.250, 0.750, 0.500], [0.500, 0.500, 0.000]],
  "final_energy_ev_per_fu": -10.018,
  "n_ef_per_ev_atom": 0.218,
  "e_above_lowest_polymorph_mev_per_atom": 689
}

***

[3]
{
  "formula": "HoTlGa",
  "functional": "GGA-PBE",
  "state": "optimized geometry",
  "cell": [[2.430, 1.403, 7.990], [-2.430, 1.403, 7.990], [0.000, -2.806, 7.990]],
  "species": ["Ho", "Ho", "Tl", "Tl", "Ga", "Ga"],
  "frac_coords": [[0.217, 0.217, 0.217], [0.783, 0.783, 0.783], [0.376, 0.376, 0.376], [0.624, 0.624, 0.624], [0.088, 0.088, 0.088], [0.912, 0.912, 0.912]],
  "final_energy_ev_per_fu": -10.186,
  "n_ef_per_ev_atom": 0.634,
  "e_above_lowest_polymorph_mev_per_atom": 243,
  "ef_ev_per_atom": -0.072
}

***

[4]
{
  "formula": "SrPrAgAu",
  "functional": "GGA-PBE",
  "state": "optimized geometry",
  "cell": [[4.884, 0.000, 0.000], [0.000, 2.031, 5.818], [0.000, -2.031, 5.818]],
  "species": ["Sr", "Pr", "Ag", "Au"],
  "frac_coords": [[0.000, 0.000, 0.000], [0.500, 0.725, 0.725], [0.500, 0.437, 0.437], [0.000, 0.276, 0.276]],
  "final_energy_ev_per_fu": -14.606,
  "n_ef_per_ev_atom": 0.674,
  "e_above_lowest_polymorph_mev_per_atom": 0,
  "ef_ev_per_atom": -0.504
}

***

[5]
{
  "formula": "Mg12Pb3Au",
  "functional": "GGA-PBE",
  "state": "optimized geometry",
  "cell": [[4.481, 0.000, 0.000], [0.000, 4.481, 0.000], [0.000, 0.000, 18.109]],
  "species": ["Mg", "Mg", "Mg", "Mg", "Mg", "Mg", "Mg", "Mg", "Mg", "Mg", "Mg", "Mg", "Pb", "Pb", "Pb", "Au"],
  "frac_coords": [[0.000, 0.000, 0.000], [0.000, 0.000, 0.240], [0.000, 0.000, 0.500], [0.000, 0.000, 0.760], [0.000, 0.500, 0.110], [0.000, 0.500, 0.371], [0.000, 0.500, 0.629], [0.000, 0.500, 0.890], [0.500, 0.000, 0.110], [0.500, 0.000, 0.371], [0.500, 0.000, 0.629], [0.500, 0.000, 0.890], [0.500, 0.500, 0.242], [0.500, 0.500, 0.500], [0.500, 0.500, 0.758], [0.500, 0.500, 0.000]],
  "final_energy_ev_per_fu": -35.490,
  "n_ef_per_ev_atom": 0.359,
  "ef_ev_per_atom": -0.122
}

***

[6]
{
  "formula": "Mn2CuBr",
  "functional": "GGA-PBE",
  "state": "optimized geometry",
  "cell": [[-2.033, 2.033, 3.912], [2.033, -2.033, 3.912], [2.033, 2.033, -3.912]],
  "species": ["Mn", "Mn", "Cu", "Br"],
  "frac_coords": [[0.250, 0.750, 0.500], [0.750, 0.250, 0.500], [0.000, 0.000, 0.000], [0.500, 0.500, 0.000]],
  "final_energy_ev_per_fu": -21.857,
  "n_ef_per_ev_atom": 0.647,
  "e_above_lowest_polymorph_mev_per_atom": 301,
  "formation_energy_uncorrected_ev_per_fu": 2.25
}

***

What is the formula in the fourth record?
SrPrAgAu

***

Please write out number 2 again, unchanged.
{
  "formula": "TlH2Cl",
  "functional": "GGA-PBE",
  "state": "optimized geometry",
  "cell": [[-2.203, 2.203, 6.452], [2.203, -2.203, 6.452], [2.203, 2.203, -6.452]],
  "species": ["Tl", "Tl", "H", "H", "H", "H", "Cl", "Cl"],
  "frac_coords": [[0.000, 0.000, 0.000], [0.750, 0.250, 0.500], [0.375, 0.122, 0.247], [0.872, 0.625, 0.747], [0.875, 0.128, 0.753], [0.878, 0.125, 0.253], [0.250, 0.750, 0.500], [0.500, 0.500, 0.000]],
  "final_energy_ev_per_fu": -10.018,
  "n_ef_per_ev_atom": 0.218,
  "e_above_lowest_polymorph_mev_per_atom": 689
}